Entry 1:
Ac3Ga4Co2 | GGA-PBE | relaxed

Properties
Calculated formation energy   -388 meV/atom
Size of the total moment   0.000 μB per cell
Energy   -42.14 eV per formula unit

Lattice parameters (Å, degrees): 11.1183 4.5586 8.4449 90.00 100.81 90.00
Last column: nearest neighbours and their distance in Å.
Space group C2/m (No. 12)
Asymmetric unit:
Ac (0.0000, 0.0000, 0.0000)  8 Ga 3.31-3.44
Ac (0.1095, 0.5000, 0.6948)  4 Co 3.00-3.34, 5 Ga 3.28-3.35
Ga (0.1200, 0.0000, 0.4067)  3 Co 2.46
Ga (0.2173, 0.5000, 0.0953)  1 Co 2.45
Co (0.1967, 0.5000, 0.3790)  4 Ga 2.45-2.46

---

Entry 2:
HoScSe3 | GGA-PBE | relaxed

Properties
Formation energy without anion corrections   -1.752 eV per atom
Offset from the most stable computed form   0.0000 eV/atom
Size of the total moment   0.000 μB per cell
Energy   -30.12 eV per formula unit

Lattice parameters (Å, degrees): 7.7372 3.9313 8.0471 90.00 96.12 90.00
Last column: nearest neighbours and their distance in Å.
Space group P2_1/m (No. 11)
Asymmetric unit:
Ho (0.1219, 0.2500, 0.2734)  8 Se 2.85-3.08
Sc (0.3525, 0.7500, 0.8275)  6 Se 2.59-2.80
Se (0.1243, 0.2500, 0.8920)  2 Sc 2.73, 2 Ho 2.95
Se (0.1935, 0.7500, 0.5278)  1 Sc 2.59, 2 Ho 2.85
Se (0.4019, 0.7500, 0.1774)  3 Sc 2.74-2.80

---

Entry 3:
La3NdSn2 | GGA-PBE | relaxed

Properties
Calculated formation energy   -600 meV/atom
Offset from the most stable computed form   0.0000 eV/atom
Size of the total moment   2.962 μB per cell
Energy   -31.16 eV per formula unit

Lattice parameters (Å, degrees): 6.7117 17.8939 6.7102 90.00 90.00 90.00
Last column: nearest neighbours and their distance in Å.
Space group Ibam (No. 72)
Asymmetric unit:
La (0.0000, 0.0000, 0.2500)  2 La 3.36, 2 Nd 3.36, 4 Sn 3.42
La (0.2493, 0.1768, 0.0000)  5 Sn 3.33-3.45
Nd (0.0000, 0.5000, 0.2500)  2 Nd 3.36, 2 La 3.36, 4 Sn 3.40
Sn (0.2468, 0.3630, 0.0000)  7 La 3.33-3.45, 2 Nd 3.40